# 1
! GGA-PBE TcMo2W, optimized geometry; values from VASP
! DOS(E_F) (states/eV per atom): 0.68
! ΔE to the lowest computed polymorph (eV/atom): 0.236
! Symmetry: P4/mmm, No. 123
&SYSTEM
  ibrav = 0, nat = 4, ntyp = 3
/
ATOMIC_SPECIES
W 183.84 W.upf
Tc 98.00 Tc.upf
Mo 95.94 Mo.upf
ATOMIC_POSITIONS crystal
W 0.500 0.500 0.750
Tc 0.500 0.500 0.250
Mo 0.000 0.000 0.484
Mo 0.000 0.000 0.016
CELL_PARAMETERS angstrom
-0.889 -2.489 0.791
1.003 -1.097 -2.325
7.253 -1.388 3.785



# 2
! GGA-PBE Y4AlZn2Cu, optimized geometry; values from VASP
! DOS(E_F) (states/eV per atom): 0.77
! Symmetry: R-3m, No. 166
&SYSTEM
  ibrav = 0, nat = 8, ntyp = 4
/
ATOMIC_SPECIES
Zn 65.41 Zn.upf
Y 88.91 Y.upf
Al 26.98 Al.upf
Cu 63.55 Cu.upf
ATOMIC_POSITIONS crystal
Zn 0.747 0.747 0.759
Zn 0.253 0.253 0.241
Y 0.127 0.127 0.618
Y 0.873 0.873 0.382
Y 0.378 0.378 0.866
Y 0.622 0.622 0.134
Al 0.000 0.000 0.000
Cu 0.500 0.500 0.500
CELL_PARAMETERS angstrom
-0.724 -1.951 4.596
-4.181 -2.644 0.988
2.191 -8.453 -0.474



# 3
! GGA-PBE LiTb5Tl6, optimized geometry; values from VASP
! DOS(E_F) (states/eV per atom): 0.70
! Symmetry: Cmmm, No. 65
&SYSTEM
  ibrav = 0, nat = 12, ntyp = 3
/
ATOMIC_SPECIES
Tb 158.93 Tb.upf
Tl 204.38 Tl.upf
Li 6.94 Li.upf
ATOMIC_POSITIONS crystal
Tb 0.337 0.000 0.326
Tb 0.663 0.000 0.674
Tb 0.667 0.500 0.666
Tb 0.333 0.500 0.334
Tb 0.000 0.500 0.000
Tl 0.162 0.757 0.676
Tl 0.500 0.760 0.000
Tl 0.838 0.757 0.324
Tl 0.500 0.240 0.000
Tl 0.838 0.243 0.324
Tl 0.162 0.243 0.676
Li 0.000 0.000 0.000
CELL_PARAMETERS angstrom
-2.270 -4.766 0.614
2.289 -1.980 -6.908
5.690 -5.234 3.385



# 4
! GGA-PBE DyEr2Ga2, optimized geometry; values from VASP
! DOS(E_F) (states/eV per atom): 1.14
! ΔE to the lowest computed polymorph (eV/atom): 0.000
! Symmetry: P4/mbm, No. 127
&SYSTEM
  ibrav = 0, nat = 10, ntyp = 3
/
ATOMIC_SPECIES
Dy 162.50 Dy.upf
Er 167.26 Er.upf
Ga 69.72 Ga.upf
ATOMIC_POSITIONS crystal
Dy 0.500 0.000 0.500
Dy 0.500 0.500 0.000
Er 0.000 0.174 0.174
Er 0.000 0.826 0.826
Er 0.000 0.674 0.326
Er 0.000 0.326 0.674
Ga 0.500 0.620 0.620
Ga 0.500 0.120 0.880
Ga 0.500 0.380 0.380
Ga 0.500 0.880 0.120
CELL_PARAMETERS angstrom
4.269 0.000 0.000
0.000 7.625 0.000
0.000 0.000 7.625



no.,ρ (Mg/m³),volume (A^3/atom),energy relative to the elements (eV/atom)
1,12.450,15.80,0.252
2,5.272,22.72,-0.343
3,10.487,26.76,-0.338
4,8.517,24.82,-0.509